[1]
Here is Sr2ZrIr2 after structural relaxation from the Alexandria database. Energies are from GGA-PBE.

Summary:
- energy of formation (kJ/mol of formula units) = -118
- DFT total energy (Ha/atom) = -0.2268
- SG = P4/mbm

extended XYZ file:
```
10
Lattice="7.071 0.000 0.000 0.000 7.071 0.000 0.000 0.000 5.000" Properties=species:S:1:pos:R:3 pbc="T T T"
Sr 4.763 5.844 2.500
Sr 2.308 1.228 2.500
Sr 5.844 2.308 2.500
Ir 4.430 0.895 0.000
Ir 6.177 4.430 0.000
Zr 0.000 0.000 0.000
Zr 3.536 3.536 0.000
Ir 2.641 6.177 0.000
Sr 1.228 4.763 2.500
Ir 0.895 2.641 0.000
```

***

[2]
Here is KLiGa after structural relaxation from the Alexandria database. Energies are from GGA-PBE.

Summary:
- energy of formation (kJ/mol of formula units) = -24
- DFT total energy (Ha/atom) = -0.0770
- SG = Cmcm

extended XYZ file:
```
6
Lattice="3.723 0.000 0.000 0.000 4.243 0.000 -1.862 0.000 11.949" Properties=species:S:1:pos:R:3 pbc="T T T"
K 0.000 1.061 4.009
Ga 0.000 3.182 11.090
Li 1.862 1.061 10.821
Li 0.000 3.182 1.128
K 1.862 3.182 7.940
Ga 1.862 1.061 0.859
```

***

[3]
Here is MgSc2GaH after structural relaxation from the Alexandria database. Energies are from GGA-PBE.

Summary:
- DFT total energy (Ha/atom) = -0.1648
- SG = P4/mmm
- E above lowest polymorph (eV/atom) = 0.0000

extended XYZ file:
```
5
Lattice="-1.445 3.552 2.042 -3.624 -2.118 1.121 1.913 -1.331 3.668" Properties=species:S:1:pos:R:3 pbc="T T T"
Mg 0.956 -0.666 1.834
Ga -1.578 0.051 3.416
Sc -0.722 1.776 1.021
H 0.000 0.000 0.000
Sc -1.812 -1.059 0.560
```

***

[4]
Here is LaPr2SnN after structural relaxation from the Alexandria database. Energies are from GGA-PBE.

Summary:
- DFT total energy (Ha/atom) = -0.2323
- SG = P4/mmm
- formation energy (no corrections) (eV/atom) = -0.959

extended XYZ file:
```
5
Lattice="5.056 0.000 0.000 0.000 5.087 0.000 0.000 0.000 5.087" Properties=species:S:1:pos:R:3 pbc="T T T"
Sn 2.528 2.543 2.543
N 0.000 0.000 0.000
Pr 0.000 0.000 2.543
Pr 0.000 2.543 0.000
La 2.528 0.000 0.000
```

***

[5]
Here is Np2PaCo9 after structural relaxation from the Alexandria database. Energies are from GGA-PBE.

Summary:
- energy of formation (kJ/mol of formula units) = -167
- DFT total energy (Ha/atom) = -0.3095
- SG = R-3m

extended XYZ file:
```
12
Lattice="4.628 0.000 1.377 2.109 4.119 1.377 -0.053 -0.032 8.640" Properties=species:S:1:pos:R:3 pbc="T T T"
Co 4.489 2.745 1.843
Co 5.114 1.710 3.981
Np 5.775 3.531 5.986
Co 2.195 1.342 9.552
Co 1.570 2.377 7.414
Pa 0.000 0.000 0.000
Co 3.853 3.773 3.981
Np 0.909 0.556 5.409
Co 3.342 2.044 5.697
Co 3.887 2.377 8.104
Co 2.831 0.314 7.414
Co 2.797 1.710 3.291
```

***

[6]
Here is TiMoPbI2 after structural relaxation from the Alexandria database. Energies are from GGA-PBE.

Summary:
- DFT total energy (Ha/atom) = -0.1602
- SG = P4/mmm
- formation energy (no corrections) (eV/atom) = 0.747

extended XYZ file:
```
5
Lattice="-4.942 1.252 -2.031 0.398 -3.587 -3.179 -2.342 -3.435 3.582" Properties=species:S:1:pos:R:3 pbc="T T T"
I -2.471 0.626 -1.016
Ti 0.199 -1.793 -1.589
Pb -3.443 -2.885 -0.814
Mo 0.000 0.000 0.000
I -1.171 -1.717 1.791
```

***

[7]
Here is ScAl2Hg after structural relaxation from the Alexandria database. Energies are from GGA-PBE.

Summary:
- energy of formation (kJ/mol of formula units) = -36
- DFT total energy (Ha/atom) = -0.1332
- SG = Cmmm

extended XYZ file:
```
4
Lattice="3.308 -0.013 0.000 -0.340 3.290 0.000 0.000 0.000 7.291" Properties=species:S:1:pos:R:3 pbc="T T T"
Hg 1.484 1.639 1.823
Sc 1.484 1.639 5.468
Al 0.000 0.000 3.594
Al 0.000 0.000 0.052
```

***

[8]
Here is Tb2NdAl2Ga2 after structural relaxation from the Alexandria database. Energies are from GGA-PBE.

Summary:
- energy of formation (kJ/mol of formula units) = -276
- DFT total energy (Ha/atom) = -0.1597
- SG = R-3m

extended XYZ file:
```
7
Lattice="-2.833 -3.138 -0.707 1.133 -3.431 -2.307 2.749 -7.241 8.136" Properties=species:S:1:pos:R:3 pbc="T T T"
Tb -0.445 -8.481 0.447
Al 1.572 -8.500 5.448
Nd 0.000 0.000 0.000
Ga 0.885 -10.507 4.113
Tb 1.494 -5.329 4.675
Al -0.523 -5.309 -0.326
Ga 0.164 -3.302 1.009
```

***

[9]
Here is B2C after structural relaxation from the Alexandria database. Energies are from GGA-PBE.

Summary:
- energy of formation (kJ/mol of formula units) = 132
- DFT total energy (Ha/atom) = -0.2598
- SG = Cm
- E above lowest polymorph (eV/atom) = 0.2719

extended XYZ file:
```
12
Lattice="-4.378 1.153 1.082 2.108 -3.246 2.585 0.839 2.488 3.660" Properties=species:S:1:pos:R:3 pbc="T T T"
C -0.635 0.293 3.596
B -1.333 1.583 2.757
B -0.254 -1.147 2.549
B -2.939 0.635 0.887
B 1.002 -0.001 3.299
B 1.242 -2.201 1.856
B -1.726 -0.148 2.208
C 1.685 -0.781 4.428
B -1.468 -0.496 4.884
C -2.597 2.123 3.435
C -2.117 -1.731 4.068
B 0.076 1.650 4.502
```

***

[10]
Here is TaCr2Au after structural relaxation from the Alexandria database. Energies are from GGA-PBE.

Summary:
- energy of formation (kJ/mol of formula units) = 112
- DFT total energy (Ha/atom) = -0.3052
- SG = Fm-3m
- E above lowest polymorph (eV/atom) = 0.2099

extended XYZ file:
```
4
Lattice="-1.803 -3.201 2.457 -3.846 0.699 2.062 -3.658 -2.057 -1.388" Properties=species:S:1:pos:R:3 pbc="T T T"
Cr -2.327 -1.140 0.783
Ta 0.000 0.000 0.000
Cr -6.980 -3.419 2.348
Au -4.654 -2.279 1.565
```

***

[11]
Here is La2Ge4Pd5 after structural relaxation from the Alexandria database. Energies are from GGA-PBE.

Summary:
- energy of formation (kJ/mol of formula units) = -746
- DFT total energy (Ha/atom) = -0.2072
- SG = Fmmm

extended XYZ file:
```
11
Lattice="-1.176 0.316 5.611 -2.569 -4.490 2.652 6.191 -2.783 4.392" Properties=species:S:1:pos:R:3 pbc="T T T"
La 4.287 -1.957 3.946
Ge 0.559 -2.017 3.168
La 0.728 -0.510 6.056
Ge -0.803 -3.675 5.914
Ge 1.887 -4.939 9.486
Pd -1.872 -2.087 4.131
Pd -1.284 -2.245 1.326
Pd -0.588 0.158 2.805
Ge 3.249 -3.281 6.741
Pd 1.517 -3.557 4.925
Pd 0.929 -3.399 7.730
```

***

Repeat the fifth record exactly.
Here is Np2PaCo9 after structural relaxation from the Alexandria database. Energies are from GGA-PBE.

Summary:
- energy of formation (kJ/mol of formula units) = -167
- DFT total energy (Ha/atom) = -0.3095
- SG = R-3m

extended XYZ file:
```
12
Lattice="4.628 0.000 1.377 2.109 4.119 1.377 -0.053 -0.032 8.640" Properties=species:S:1:pos:R:3 pbc="T T T"
Co 4.489 2.745 1.843
Co 5.114 1.710 3.981
Np 5.775 3.531 5.986
Co 2.195 1.342 9.552
Co 1.570 2.377 7.414
Pa 0.000 0.000 0.000
Co 3.853 3.773 3.981
Np 0.909 0.556 5.409
Co 3.342 2.044 5.697
Co 3.887 2.377 8.104
Co 2.831 0.314 7.414
Co 2.797 1.710 3.291
```

***

- Number 1 is which compound?
  Sr2ZrIr2

***

- Which of these has the lowest DFT total energy?
  Np2PaCo9